! Tl6SiF12 | the Alexandria database | PBE | optimized geometry; values from VASP
&SYSTEM
  ibrav = 0, nat = 19, ntyp = 3
/
ATOMIC_SPECIES
F 19.00 F.upf
Tl 204.38 Tl.upf
Si 28.09 Si.upf
CELL_PARAMETERS angstrom
7.1938 0.3232 -1.4952
-1.8993 6.9461 -1.4952
0.2354 0.3232 7.3438
ATOMIC_POSITIONS crystal
F 0.8200 0.4165 0.5583
F 0.5583 0.8200 0.4165
F 0.7680 0.0160 0.9286
F 0.4417 0.1800 0.5835
Tl 0.6975 0.4047 0.8573
F 0.5835 0.4417 0.1800
Tl 0.4047 0.8573 0.6975
Tl 0.1427 0.3025 0.5953
F 0.9840 0.0714 0.2320
Tl 0.8573 0.6975 0.4047
F 0.2320 0.9840 0.0714
Si 0.0000 0.0000 0.0000
Tl 0.3025 0.5953 0.1427
F 0.0160 0.9286 0.7680
F 0.9286 0.7680 0.0160
Tl 0.5953 0.1427 0.3025
F 0.1800 0.5835 0.4417
F 0.4165 0.5583 0.8200
F 0.0714 0.2320 0.9840
! Crystal system   trigonal
! Final energy   -0.159 Ha/atom
! Formation energy from raw total energies   -2104 meV/atom
! Space group   R-3, No. 148